Entry 1:
Below is a geometry-optimized SnAsS3 structure, with properties calculated at the PBE level.

Cell lengths 4.801, 4.801, 4.801 Å; angles 90.00, 90.00, 90.00 degrees
Fractional coordinates of all 5 atoms:
1 Sn 0.000 0.000 0.000
2 As 0.500 0.500 0.500
3 S 0.000 0.500 0.500
4 S 0.500 0.000 0.500
5 S 0.500 0.500 0.000

Values from the calculation:
crystal system	cubic
Fermi-level density of states	3.51	states/eV per cell
density	4350	kg/m³
ΔE_f (raw)	0.179	eV/atom
total DFT energy (no corrections)	-4.0276	eV/atom
magnetic moment	0.00	Bohr magnetons per cell



Entry 2:
Below is a geometry-optimized Rb2NdAg2I6 structure, with properties calculated at the PBE level.

Cell lengths 8.392, 8.392, 8.802 Å; angles 112.10, 112.10, 68.80 degrees
Fractional coordinates of all 11 atoms:
1 Rb 0.218 0.218 0.171
2 Rb 0.782 0.782 0.829
3 Nd 0.000 0.000 0.500
4 Ag 0.466 0.466 0.625
5 Ag 0.534 0.534 0.375
6 I 0.182 0.727 0.216
7 I 0.248 0.248 0.610
8 I 0.273 0.818 0.784
9 I 0.727 0.182 0.216
10 I 0.752 0.752 0.390
11 I 0.818 0.273 0.784

Values from the calculation:
crystal system	monoclinic
Fermi-level density of states	3.24	states/eV per cell
density	4172	kg/m³
ΔE_f (raw)	-0.957	eV/atom
total DFT energy (no corrections)	-2.9303	eV/atom
magnetic moment	0.00	Bohr magnetons per cell